[1]
A plane-wave DFT calculation with PBE was carried out for a relaxed structure of ZrTi2FeW.

Computed properties:
Energy: -8.521 eV per atom
Formation enthalpy at 0 K: 3.1 eV per formula unit
Total magnetization: 0.00 μB per formula unit
Theoretical density: 7.7 g/cm3

abc: 4.3428 4.3428 4.8768
angles: 90.00 90.00 90.00
Positions (direct):
Zr  0.0000  0.0000  0.0000
Ti  0.0000  0.5000  0.5000
Ti  0.5000  0.0000  0.5000
Fe  0.0000  0.0000  0.5000
W  0.5000  0.5000  0.0000

=====

[2]
A plane-wave DFT calculation with PBE was carried out for a relaxed structure of YTi2Fe2.

Computed properties:
Energy: -7.960 eV per atom
Excess energy over the best structure of this formula in the dataset: 0.0 meV/atom
Formation enthalpy at 0 K: -0.6 eV per formula unit
Total magnetization: 0.00 μB per formula unit
Theoretical density: 5.8 g/cm3

abc: 5.9560 5.9560 5.9560
angles: 140.45 140.45 57.17
Positions (direct):
Y  0.0000  0.0000  0.0000
Ti  0.2500  0.7500  0.5000
Ti  0.7500  0.2500  0.5000
Fe  0.3908  0.3908  0.0000
Fe  0.6092  0.6092  0.0000

=====

- The lowest formation enthalpy at 0 K belongs to which entry?
  YTi2Fe2